Record 1
Below is SrPtN2 after structural relaxation, with properties calculated at the PBE level.

The formation energy from raw total energies comes out at 0.101 eV/atom. The excess energy over the best structure of this formula in the dataset comes out at 0.000 eV/atom. Its total energy is -5.9924 eV/atom. For the density of states at the Fermi level, the calculation gives 0.000 states/eV per atom.

It has space group R-3m (No. 166, hexagonal axes), with a = 4.2407 Å, b = 4.2407 Å, c = 16.8396 Å, α = 90.00°, β = 90.00° and γ = 120.00°. The asymmetric unit holds Sr at (0.0000, 0.0000, 0.0000), Pt at (0.0000, 0.0000, 0.5000) and N at (0.0000, 0.0000, 0.3943).

=====

Record 2
Below is TaMn2I after structural relaxation, with properties calculated at the PBE level.

The formation energy from raw total energies comes out at 1.222 eV/atom. The excess energy over the best structure of this formula in the dataset comes out at 0.289 eV/atom. Its total energy is -6.7138 eV/atom. For the density of states at the Fermi level, the calculation gives 2.410 states/eV per atom.

It has space group I-42d (No. 122), with a = 4.1952 Å, b = 4.1952 Å, c = 15.9808 Å, α = 90.00°, β = 90.00° and γ = 90.00°. The asymmetric unit holds Ta at (0.0000, 0.0000, 0.0000), Mn at (0.2377, 0.2500, 0.6250) and I at (0.0000, 0.0000, 0.5000).